VASP calculation (PBEsol) on BaTa2In after structural relaxation.

Cell lengths 3.067, 3.067, 10.446 Å; angles 90.00, 90.00, 109.13 degrees
Atoms (fractional coordinates):
Ba 0.000 0.000 0.503
In 0.500 0.500 0.214
Ta 0.000 0.000 0.988
Ta 0.500 0.500 0.795

Properties
- symmetry = Cmm2, No. 35
- size of the total moment (μB/f.u.) = 0.000
- energy relative to the elements (eV/atom) = 0.44
- relative energy among the computed polymorphs (meV per atom) = 0


VASP calculation (PBEsol) on CaAl2O4 after structural relaxation.

Cell lengths 8.073, 8.755, 8.755 Å; angles 120.00, 90.00, 90.00 degrees
Atoms (fractional coordinates):
Al 0.457 0.314 0.342
Al 0.457 0.028 0.686
Al 0.457 0.658 0.972
Al 0.957 0.686 0.658
Al 0.957 0.972 0.314
Al 0.957 0.342 0.028
Al 0.562 0.339 0.021
Al 0.562 0.681 0.661
Al 0.562 0.979 0.319
Al 0.062 0.661 0.979
Al 0.062 0.319 0.339
Al 0.062 0.021 0.681
Ca 0.765 0.333 0.667
Ca 0.265 0.667 0.333
Ca 0.696 0.667 0.333
Ca 0.196 0.333 0.667
Ca 0.768 0.000 0.000
Ca 0.268 0.000 0.000
O 0.759 0.385 0.124
O 0.759 0.740 0.615
O 0.759 0.876 0.260
O 0.259 0.615 0.876
O 0.259 0.260 0.385
O 0.259 0.124 0.740
O 0.480 0.546 0.446
O 0.480 0.900 0.454
O 0.480 0.554 0.100
O 0.980 0.454 0.554
O 0.980 0.100 0.546
O 0.980 0.446 0.900
O 0.464 0.223 0.110
O 0.464 0.887 0.777
O 0.464 0.890 0.113
O 0.964 0.777 0.890
O 0.964 0.113 0.223
O 0.964 0.110 0.887
O 0.593 0.209 0.418
O 0.593 0.209 0.791
O 0.593 0.582 0.791
O 0.093 0.791 0.582
O 0.093 0.791 0.209
O 0.093 0.418 0.209

Properties
- symmetry = P6_3, No. 173
- size of the total moment (μB/f.u.) = 0.000
- relative energy among the computed polymorphs (meV per atom) = 53
- E_form (uncorrected) (eV/f.u.) = -21.4


VASP calculation (PBEsol) on EuInAu after structural relaxation.

Cell lengths 4.659, 7.385, 8.337 Å; angles 90.00, 90.00, 90.00 degrees
Site moments in Bohr magnetons follow the coordinates.
Atoms (fractional coordinates):
Eu 0.250 0.523 0.813  6.79
Eu 0.750 0.977 0.313  6.79
Eu 0.250 0.023 0.687  6.79
Eu 0.750 0.477 0.187  6.79
In 0.750 0.340 0.567  0.00
In 0.750 0.840 0.933  0.00
In 0.250 0.660 0.433  0.00
In 0.250 0.160 0.067  0.00
Au 0.750 0.227 0.887  0.00
Au 0.750 0.727 0.613  0.00
Au 0.250 0.273 0.387  0.00
Au 0.250 0.773 0.113  0.00

Properties
- symmetry = Pnma, No. 62
- size of the total moment (μB/f.u.) = 7.053
- energy relative to the elements (eV/atom) = -0.71